(1)
# YGaBr

A relaxed YGaBr crystal (PBE, the Alexandria database).

Lattice parameters (Å, degrees): 7.0283 4.0420 12.4220 90.00 101.40 90.00
With the nearest neighbours (Å) after each atom.
Space group Cm (No. 8)
Symmetry-distinct sites (fractional):
Y (0.0000, 0.0000, 0.0000)  4 Ga 2.95-3.08, 3 Br 3.00
Y (0.0343, 0.5000, 0.6178)  3 Ga 2.89-2.90, 3 Br 2.96
Ga (0.2766, 0.0000, 0.8365)  3 Ga 2.52-2.53
Ga (0.4159, 0.5000, 0.7580)  3 Ga 2.52-2.53
Br (0.1493, 0.0000, 0.4691)  3 Y 2.96
Br (0.3867, 0.0000, 0.1544)  3 Y 3.00

Properties
Uncorrected energy ... -4.7965 eV/atom
Formation energy without anion corrections ... -3.23 eV/f.u.



(2)
# Tb6Sm2Y3

A relaxed Tb6Sm2Y3 crystal (PBE, the Alexandria database).

Lattice parameters (Å, degrees): 6.1483 10.6664 11.6984 90.00 100.22 90.00
With the nearest neighbours (Å) after each atom.
Space group C2/m (No. 12)
Symmetry-distinct sites (fractional):
Tb (0.2494, 0.0000, 0.2503)  3 Y 3.52-3.53, 2 Sm 3.53, 6 Tb 3.55-3.56
Tb (0.2499, 0.1669, 0.7495)  3 Y 3.53, 2 Sm 3.54, 6 Tb 3.55-3.56
Sm (0.0000, 0.1665, 0.0000)  6 Tb 3.53-3.54, 3 Sm 3.55
Y (0.0000, 0.0000, 0.5000)  6 Tb 3.53, 6 Y 3.54-3.57
Y (0.0000, 0.3347, 0.5000)  6 Tb 3.52-3.53, 6 Y 3.53-3.57

Properties
Uncorrected energy ... -4.9612 eV/atom
ΔH_f (0 K) ... 0.19 eV/atom



(3)
# ScNbV3

A relaxed ScNbV3 crystal (PBE, the Alexandria database).

Lattice parameters (Å, degrees): 4.6248 4.6248 4.6248 90.00 90.00 90.00
With the nearest neighbours (Å) after each atom.
Space group Pm-3m (No. 221)
Symmetry-distinct sites (fractional):
Sc (0.0000, 0.0000, 0.0000)  12 V 3.27
Nb (0.5000, 0.5000, 0.5000)  6 V 2.31
V (0.0000, 0.5000, 0.5000)  2 Nb 2.31

Properties
Uncorrected energy ... -7.6973 eV/atom
ΔH_f (0 K) ... 1.05 eV/atom



(4)
# CsMgCd2As

A relaxed CsMgCd2As crystal (PBE, the Alexandria database).

Lattice parameters (Å, degrees): 5.8143 5.8143 5.1235 90.00 90.00 90.00
With the nearest neighbours (Å) after each atom.
Space group P4/mmm (No. 123)
Symmetry-distinct sites (fractional):
Cs (0.0000, 0.0000, 0.0000)  8 Cd 3.87, 4 As 4.11
Mg (0.5000, 0.5000, 0.5000)  2 As 2.56
Cd (0.0000, 0.5000, 0.5000)  2 Mg 2.91
As (0.5000, 0.5000, 0.0000)  2 Mg 2.56

Properties
Uncorrected energy ... -1.7866 eV/atom
ΔH_f (0 K) ... 0.00 eV/atom